No. 1
First-principles (PBE) data for a relaxed structure of NaSm5Hg4, as listed in Alexandria via LeMat-Bulk.

Cell and atoms, written as POSCAR:
```
NaSm5Hg4
1.0
3.8369 0.0000 0.0000
0.0000 3.8369 0.0000
0.0000 0.0000 19.4487
Na Sm Hg
1 5 4
Direct
0.0000 0.0000 0.0000
0.5000 0.5000 0.1234
0.5000 0.5000 0.3100
0.5000 0.5000 0.5000
0.5000 0.5000 0.6900
0.5000 0.5000 0.8766
0.0000 0.0000 0.2096
0.0000 0.0000 0.4037
0.0000 0.0000 0.5963
0.0000 0.0000 0.7904
```

Results
The value obtained for the formation energy is -0.32 eV/atom.

=====

No. 2
First-principles (PBE) data for a relaxed structure of NaSmHg4, as listed in Alexandria via LeMat-Bulk.

Cell and atoms, written as POSCAR:
```
NaSmHg4
1.0
2.5062 -4.3407 0.0000
2.5062 4.3407 0.0000
-0.0239 0.0000 6.9431
Na Sm Hg
1 1 4
Direct
0.0000 0.0000 0.0000
0.0000 0.0000 0.5000
0.3320 0.6659 0.2560
0.3341 0.6680 0.7440
0.6659 0.3320 0.2560
0.6680 0.3341 0.7440
```

Results
The value obtained for the formation energy is -0.29 eV/atom.

=====

No. 3
First-principles (PBE) data for a relaxed structure of NaSmHg6, as listed in Alexandria via LeMat-Bulk.

Cell and atoms, written as POSCAR:
```
NaSmHg6
1.0
5.1745 0.0000 0.0000
0.0000 3.3364 5.7658
0.0000 -3.3364 5.7658
Na Sm Hg
1 1 6
Direct
0.0000 0.0000 0.0000
0.5000 0.6684 0.6684
0.0000 0.0065 0.4972
0.0000 0.4972 0.0065
0.0000 0.4985 0.4985
0.5000 0.1680 0.1680
0.5000 0.1691 0.6663
0.5000 0.6663 0.1691
```

Results
The value obtained for the formation energy is -0.27 eV/atom.

=====

No. 4
First-principles (PBE) data for a relaxed structure of NaSmHg3, as listed in Alexandria via LeMat-Bulk.

Cell and atoms, written as POSCAR:
```
NaSmHg3
1.0
7.3240 0.0000 0.0000
-3.6620 6.3428 0.0000
0.0000 0.0000 5.6442
Na Sm Hg
2 2 6
Direct
0.0000 0.0000 0.0000
0.0000 0.0000 0.5000
0.3333 0.6667 0.2500
0.6667 0.3333 0.7500
0.1975 0.3950 0.7500
0.1975 0.8025 0.7500
0.3950 0.1975 0.2500
0.6050 0.8025 0.7500
0.8025 0.1975 0.2500
0.8025 0.6050 0.2500
```

Results
The value obtained for the formation energy is -0.13 eV/atom.

=====

No. 5
First-principles (PBE) data for a relaxed structure of NaSrSmHg, as listed in Alexandria via LeMat-Bulk.

Cell and atoms, written as POSCAR:
```
NaSrSmHg
1.0
0.0000 3.9786 3.9786
3.9786 0.0000 3.9786
3.9786 3.9786 0.0000
Na Sr Sm Hg
1 1 1 1
Direct
0.0000 0.0000 0.0000
0.7500 0.7500 0.7500
0.2500 0.2500 0.2500
0.5000 0.5000 0.5000
```

Results
The value obtained for the formation energy is -0.10 eV/atom.

=====

No. 6
First-principles (PBE) data for a relaxed structure of NaSrSm2Hg4, as listed in Alexandria via LeMat-Bulk.

Cell and atoms, written as POSCAR:
```
NaSrSm2Hg4
1.0
2.6749 1.5444 8.9090
-2.6749 1.5444 8.9090
0.0000 -3.0887 8.9090
Na Sr Sm Hg
1 1 2 4
Direct
0.0000 0.0000 0.0000
0.5000 0.5000 0.5000
0.2548 0.2548 0.2548
0.7452 0.7452 0.7452
0.1193 0.1193 0.1193
0.3740 0.3740 0.3740
0.6260 0.6260 0.6260
0.8807 0.8807 0.8807
```

Results
The value obtained for the formation energy is -0.40 eV/atom.